Material: ScSi2Se6
Method: DFT, PBE-GGA
State: relaxed

Cell lengths 8.479, 8.479, 6.565 Å; angles 97.58, 97.58, 84.41 degrees
Sites, in units of the cell vectors:
Sc 0.110 0.890 0.750
Sc 0.890 0.110 0.250
Si 0.218 0.374 0.672
Si 0.374 0.218 0.172
Si 0.626 0.782 0.828
Si 0.782 0.626 0.328
Se 0.026 0.196 0.640
Se 0.126 0.598 0.866
Se 0.196 0.026 0.140
Se 0.280 0.451 0.365
Se 0.402 0.874 0.634
Se 0.451 0.280 0.865
Se 0.549 0.720 0.135
Se 0.598 0.126 0.366
Se 0.720 0.549 0.635
Se 0.804 0.974 0.860
Se 0.874 0.402 0.134
Se 0.974 0.804 0.360

Its uncorrected formation energy is -0.61 eV/atom. Its density is 4.13 g/cm3. The density of states at the Fermi level is 0.606 states/eV per atom. The total magnetization is 0.000 μB per atom.